Here is a relaxed structure of PuTl2O2F4 from Alexandria via LeMat-Bulk. Energies are from PBE-GGA.

Computed properties:
As for the formation energy (no corrections): -2.384 eV/atom. The calculation puts the spin magnetization at 2.00 μB/f.u. Its volume is 18.9 A^3/atom.

abc: 10.775 6.462 4.895
angles: 90.00 91.13 90.00
Space group C2/m (No. 12)
Unique sites:
Pu: 0.000 0.000 0.000 x2
Tl: 0.161 0.500 0.337 x4
O: 0.133 0.000 0.231 x4
F: 0.089 0.251 0.773 x8